# 1
FeReHgGe after structural relaxation, computed with PBE.

a b c (Å): 4.4498 4.4498 4.4498
angles (deg): 60.00 60.00 60.00
Fractional coordinates of all 4 atoms:
1 Re 0.2500 0.2500 0.2500
2 Fe 0.7500 0.7500 0.7500
3 Ge 0.0000 0.0000 0.0000
4 Hg 0.5000 0.5000 0.5000

ΔE to the lowest computed polymorph, eV per formula unit: 0.00
VASP energy, eV/atom: -5.711

=====

# 2
BaErNO after structural relaxation, computed with PBE.

a b c (Å): 4.6412 4.6412 8.2673
angles (deg): 90.00 90.00 90.00
Fractional coordinates of all 8 atoms:
1 Er 0.2500 0.7500 0.5000
2 Er 0.7500 0.2500 0.5000
3 Ba 0.7500 0.7500 0.8767
4 O 0.2500 0.7500 0.0000
5 N 0.2500 0.2500 0.5228
6 N 0.7500 0.7500 0.4772
7 Ba 0.2500 0.2500 0.1233
8 O 0.7500 0.2500 0.0000

ΔE to the lowest computed polymorph, eV per formula unit: 1.75
VASP energy, eV/atom: -6.517

=====

# 3
TaNiAgAs after structural relaxation, computed with PBE.

a b c (Å): 4.4455 4.4455 4.4455
angles (deg): 60.00 60.00 60.00
Fractional coordinates of all 4 atoms:
1 Ta 0.2500 0.2500 0.2500
2 Ag 0.5000 0.5000 0.5000
3 As 0.0000 0.0000 0.0000
4 Ni 0.7500 0.7500 0.7500

VASP energy, eV/atom: -6.005

=====

# 4
Ba2MgTcN6 after structural relaxation, computed with PBE.

a b c (Å): 5.8256 5.8256 5.8256
angles (deg): 120.00 120.00 89.99
Fractional coordinates of all 10 atoms:
1 N 0.7581 0.7630 0.5211
2 N 0.2370 0.7581 0.9951
3 Ba 0.7500 0.2500 0.5000
4 N 0.2419 0.2370 0.4789
5 Ba 0.2500 0.7500 0.5000
6 N 0.7605 0.7605 0.0000
7 N 0.2395 0.2395 0.0000
8 Tc 0.0000 0.0000 0.0000
9 Mg 0.5000 0.5000 0.0000
10 N 0.7630 0.2419 0.0049

VASP energy, eV/atom: -6.297